## PrCo3Si3 (PBE)

Data for crystalline PrCo3Si3 at its relaxed geometry.

- Symmetry: Pm-3n
- DOS(E_F): 1.154 states/eV per atom
- M_tot: 0.001 μB per formula unit
- Formation energy from raw total energies: -242 meV/atom

a = 6.215 Å, b = 6.215 Å, c = 6.215 Å
α = 90.00°, β = 90.00°, γ = 90.00°
Positions (direct):
Pr (0.000, 0.000, 0.000)
Pr (0.500, 0.500, 0.500)
Co (0.000, 0.250, 0.500)
Co (0.000, 0.750, 0.500)
Co (0.250, 0.500, 0.000)
Co (0.500, 0.000, 0.250)
Co (0.500, 0.000, 0.750)
Co (0.750, 0.500, 0.000)
Si (0.000, 0.500, 0.250)
Si (0.000, 0.500, 0.750)
Si (0.250, 0.000, 0.500)
Si (0.500, 0.250, 0.000)
Si (0.500, 0.750, 0.000)
Si (0.750, 0.000, 0.500)


## HfZn6Pd12 (PBE)

Data for crystalline HfZn6Pd12 at its relaxed geometry.

- E_form: -0.24 eV per atom
- Symmetry: R-3
- DOS(E_F): 0.435 states/eV per atom
- M_tot: 0.000 μB per formula unit

a = 7.015 Å, b = 7.015 Å, c = 7.015 Å
α = 102.49°, β = 102.49°, γ = 102.49°
Positions (direct):
Hf (0.000, 0.000, 0.000)
Zn (0.179, 0.457, 0.268)
Zn (0.268, 0.179, 0.457)
Zn (0.457, 0.268, 0.179)
Zn (0.543, 0.732, 0.821)
Zn (0.732, 0.821, 0.543)
Zn (0.821, 0.543, 0.732)
Pd (0.020, 0.147, 0.684)
Pd (0.147, 0.684, 0.020)
Pd (0.176, 0.519, 0.640)
Pd (0.316, 0.980, 0.853)
Pd (0.360, 0.824, 0.481)
Pd (0.481, 0.360, 0.824)
Pd (0.519, 0.640, 0.176)
Pd (0.640, 0.176, 0.519)
Pd (0.684, 0.020, 0.147)
Pd (0.824, 0.481, 0.360)
Pd (0.853, 0.316, 0.980)
Pd (0.980, 0.853, 0.316)


## NbBTeN2 (PBE)

Data for crystalline NbBTeN2 at its relaxed geometry.

- Symmetry: P4/mmm
- DOS(E_F): 0.937 states/eV per atom
- M_tot: 0.000 μB per formula unit
- Formation energy from raw total energies: 1051 meV/atom

a = 3.940 Å, b = 3.940 Å, c = 5.937 Å
α = 90.00°, β = 90.00°, γ = 90.00°
Positions (direct):
Nb (0.000, 0.000, 0.000)
B (0.500, 0.500, 0.500)
Te (0.000, 0.000, 0.500)
N (0.000, 0.500, 0.000)
N (0.500, 0.000, 0.000)


## Li2ZnPbAu4 (PBE)

Data for crystalline Li2ZnPbAu4 at its relaxed geometry.

- E_form: -0.35 eV per atom
- Symmetry: R-3m
- DOS(E_F): 0.280 states/eV per atom
- M_tot: 0.000 μB per formula unit

a = 8.419 Å, b = 8.419 Å, c = 8.419 Å
α = 31.39°, β = 31.39°, γ = 31.39°
Positions (direct):
Li (0.247, 0.247, 0.247)
Li (0.753, 0.753, 0.753)
Zn (0.500, 0.500, 0.500)
Pb (0.000, 0.000, 0.000)
Au (0.133, 0.133, 0.133)
Au (0.392, 0.392, 0.392)
Au (0.608, 0.608, 0.608)
Au (0.867, 0.867, 0.867)


## CsRbTeRu2 (PBE)

Data for crystalline CsRbTeRu2 at its relaxed geometry.

- Symmetry: P4/mmm
- DOS(E_F): 1.141 states/eV per atom
- M_tot: 1.247 μB per formula unit
- Formation energy from raw total energies: 908 meV/atom

a = 5.030 Å, b = 5.030 Å, c = 6.674 Å
α = 90.00°, β = 90.00°, γ = 90.00°
Positions (direct):
Cs (0.000, 0.000, 0.000)
Rb (0.500, 0.500, 0.000)
Te (0.000, 0.000, 0.500)
Ru (0.000, 0.500, 0.500)
Ru (0.500, 0.000, 0.500)


## CsMgSbI2 (PBE)

Data for crystalline CsMgSbI2 at its relaxed geometry.

- Symmetry: P4/mmm
- DOS(E_F): 0.070 states/eV per atom
- M_tot: 2.001 μB per formula unit
- Formation energy from raw total energies: -622 meV/atom

a = 6.153 Å, b = 6.153 Å, c = 5.686 Å
α = 90.00°, β = 90.00°, γ = 90.00°
Positions (direct):
Cs (0.000, 0.000, 0.000)
Mg (0.500, 0.500, 0.500)
Sb (0.500, 0.500, 0.000)
I (0.000, 0.500, 0.500)
I (0.500, 0.000, 0.500)


Question: The lowest DOS(E_F) belongs to which entry?
Answer: CsMgSbI2


Question: Among the records above, which one has the highest DOS(E_F)?
Answer: PrCo3Si3